1.
DFT (PBE-GGA) results for a relaxed structure of Be3NbNi.

Cell and atoms, written as extended XYZ:
```
5
Lattice="3.8661 0.0000 0.0000 0.0000 3.8661 0.0000 0.0000 0.0000 3.8661" Properties=species:S:1:pos:R:3 pbc="T T T"
Be 0.0000 0.0000 1.9330
Be 0.0000 1.9330 0.0000
Be 1.9330 0.0000 0.0000
Nb 1.9330 1.9330 1.9330
Ni 0.0000 0.0000 0.0000
```

Properties
* excess energy over the best structure of this formula in the dataset: 285 meV per atom
* volume: 57.8 Å³ per cell
* total magnetic moment: 0.000 Bohr magnetons per cell

***

2.
DFT (PBE-GGA) results for a relaxed structure of Y8Br.

Cell and atoms, written as extended XYZ:
```
9
Lattice="-5.5094 5.5094 2.3507 5.5094 -5.5094 2.3507 5.5094 5.5094 -2.3507" Properties=species:S:1:pos:R:3 pbc="T T T"
Y 3.7576 0.0000 0.0000
Y 7.2613 0.0000 0.0000
Y 3.6503 3.6503 0.0000
Y 1.8592 -1.8592 2.3507
Y 0.0000 3.7576 0.0000
Y 0.0000 7.2613 0.0000
Y -1.8592 1.8592 2.3507
Y 1.8592 1.8592 2.3507
Br 0.0000 0.0000 0.0000
```

Properties
* volume: 285.4 Å³ per cell
* raw formation energy: -0.3 eV/f.u.
* total magnetic moment: 0.000 Bohr magnetons per cell

***

3.
DFT (PBE-GGA) results for a relaxed structure of Pr3Cu4Ni4.

Cell and atoms, written as extended XYZ:
```
11
Lattice="-3.6765 3.6765 3.6765 3.6765 -3.6765 3.6765 3.6765 3.6765 -3.6765" Properties=species:S:1:pos:R:3 pbc="T T T"
Pr 3.6765 0.0000 0.0000
Pr 0.0000 3.6765 0.0000
Pr 0.0000 0.0000 3.6765
Cu 1.4741 1.4741 -1.4741
Cu 1.4741 -1.4741 1.4741
Cu -1.4741 1.4741 1.4741
Cu 2.2024 2.2024 2.2024
Ni 2.8213 2.8213 -2.8213
Ni 2.8213 -2.8213 2.8213
Ni 0.8551 0.8551 0.8551
Ni -2.8213 2.8213 2.8213
```

Properties
* volume: 198.8 Å³ per cell
* total magnetic moment: 0.000 Bohr magnetons per cell
* electronic total energy: -5.050 eV/atom

***

4.
DFT (PBE-GGA) results for a relaxed structure of SrTcSb2.

Cell and atoms, written as extended XYZ:
```
16
Lattice="8.0384 0.0000 0.0000 0.0000 8.0384 0.0000 0.0000 0.0000 7.0103" Properties=species:S:1:pos:R:3 pbc="T T T"
Sr 0.0000 0.0000 0.0000
Sr 0.0000 4.0192 1.7526
Sr 4.0192 0.0000 5.2578
Sr 4.0192 4.0192 3.5052
Tc 0.0000 0.0000 3.5052
Tc 0.0000 4.0192 5.2578
Tc 4.0192 0.0000 1.7526
Tc 4.0192 4.0192 0.0000
Sb 1.4474 2.0096 4.3815
Sb 2.0096 5.4666 6.1341
Sb 2.0096 6.5910 2.6289
Sb 2.5718 2.0096 0.8763
Sb 5.4666 6.0288 0.8763
Sb 6.0288 1.4474 2.6289
Sb 6.0288 2.5718 6.1341
Sb 6.5910 6.0288 4.3815
```

Properties
* excess energy over the best structure of this formula in the dataset: 201 meV per atom
* volume: 453.0 Å³ per cell
* raw formation energy: -0.2 eV/f.u.
* total magnetic moment: 0.000 Bohr magnetons per cell

***

5.
DFT (PBE-GGA) results for a relaxed structure of Mg2BeNi.

Cell and atoms, written as extended XYZ:
```
8
Lattice="9.8242 0.0000 0.0000 0.0000 3.0152 0.0000 -1.9047 0.0000 3.9189" Properties=species:S:1:pos:R:3 pbc="T T T"
Mg 0.0000 0.0000 0.0000
Mg 0.7298 0.0000 2.7830
Mg 4.9121 1.5076 0.0000
Mg 5.6419 1.5076 2.7830
Be 3.4602 0.0000 1.7094
Be 8.3723 1.5076 1.7094
Ni 2.0899 1.5076 1.0265
Ni 7.0020 0.0000 1.0265
```

Properties
* volume: 116.1 Å³ per cell
* total magnetic moment: 0.000 Bohr magnetons per cell
* electronic total energy: -3.211 eV/atom

***

6.
DFT (PBE-GGA) results for a relaxed structure of Y2ScNiSb.

Cell and atoms, written as extended XYZ:
```
5
Lattice="5.5382 0.0000 0.0000 0.0000 5.5382 0.0000 0.0000 0.0000 4.3896" Properties=species:S:1:pos:R:3 pbc="T T T"
Y 0.0000 2.7691 0.0000
Y 2.7691 0.0000 0.0000
Sc 0.0000 0.0000 0.0000
Ni 0.0000 0.0000 2.1948
Sb 2.7691 2.7691 2.1948
```

Properties
* volume: 134.6 Å³ per cell
* raw formation energy: 2.2 eV/f.u.
* total magnetic moment: 0.279 Bohr magnetons per cell

***

7.
DFT (PBE-GGA) results for a relaxed structure of LiMg4Pt.

Cell and atoms, written as extended XYZ:
```
12
Lattice="6.2861 0.0000 0.0000 0.0000 6.2857 0.0000 -0.0026 0.0000 7.1127" Properties=species:S:1:pos:R:3 pbc="T T T"
Li 0.0000 0.0000 0.0000
Li 3.1431 3.1428 0.0000
Mg 1.5743 1.5705 2.0177
Mg 1.5746 1.5702 5.0880
Mg 1.5743 4.7152 2.0177
Mg 1.5746 4.7154 5.0880
Mg 4.7174 1.5723 2.0177
Mg 4.7177 1.5726 5.0880
Mg 4.7174 4.7133 2.0177
Mg 4.7177 4.7131 5.0880
Pt 0.0022 3.1428 3.5545
Pt 3.1452 0.0000 3.5545
```

Properties
* excess energy over the best structure of this formula in the dataset: 0 meV per atom
* volume: 281.0 Å³ per cell
* total magnetic moment: 0.000 Bohr magnetons per cell

***

8.
DFT (PBE-GGA) results for a relaxed structure of Pr2Nd3Y.

Cell and atoms, written as extended XYZ:
```
12
Lattice="6.8740 0.0000 0.0000 0.0000 18.0119 0.0000 0.0000 0.0000 3.4601" Properties=species:S:1:pos:R:3 pbc="T T T"
Pr 1.6165 2.7300 0.0000
Pr 1.8205 11.7359 1.7300
Pr 5.0535 6.2760 1.7300
Pr 5.2575 15.2819 0.0000
Nd 0.0000 0.0000 1.7300
Nd 1.6656 5.7988 1.7300
Nd 1.7714 14.8048 0.0000
Nd 3.4370 9.0060 0.0000
Nd 5.1025 3.2071 0.0000
Nd 5.2084 12.2131 1.7300
Y 0.0000 9.0060 1.7300
Y 3.4370 0.0000 0.0000
```

Properties
* excess energy over the best structure of this formula in the dataset: 182 meV per atom
* volume: 428.4 Å³ per cell
* total magnetic moment: 0.000 Bohr magnetons per cell